1.
Compound: Ho12Co5Bi
Source: Alexandria
Functional: GGA-PBE
Structure: optimized geometry

Computed properties:
DOS at the Fermi energy   0.701 states/eV per atom
Calculated density   9.47 g/cm3
Energy   -99.63 eV/cell
Space group   Immm
ΔE_f   -0.294 eV/atom

Cell lengths 8.2747, 8.2747, 8.2747 Å; angles 111.00, 110.58, 106.87 degrees
With the nearest neighbours (Å) after each atom.
Sites, in units of the cell vectors:
Ho  0.0111  0.2054  0.8057  2 Co 2.66-2.73
Ho  0.1837  0.2895  0.4732  2 Co 2.85
Ho  0.1837  0.7105  0.8942  2 Co 2.85
Ho  0.3114  0.0028  0.6914  3 Co 2.66-2.83
Ho  0.3114  0.6200  0.3086  3 Co 2.66-2.83
Ho  0.3997  0.2054  0.1943  2 Co 2.66-2.73
Ho  0.6003  0.7946  0.8057  2 Co 2.66-2.73
Ho  0.6886  0.3800  0.6914  3 Co 2.66-2.83
Ho  0.6886  0.9972  0.3086  3 Co 2.66-2.83
Ho  0.8163  0.2895  0.1058  2 Co 2.85
Ho  0.8163  0.7105  0.5268  2 Co 2.85
Ho  0.9889  0.7946  0.1943  2 Co 2.66-2.73
Co  0.0000  0.0000  0.0000  4 Ho 2.73
Co  0.1117  0.6117  0.5000  1 Co 2.20
Co  0.3777  0.0000  0.3777  1 Co 2.30
Co  0.6223  0.0000  0.6223  1 Co 2.30
Co  0.8883  0.3883  0.5000  1 Co 2.20
Bi  0.5000  0.5000  0.0000  12 Ho 3.43-3.57



2.
Compound: Ho6Co2Bi
Source: Alexandria
Functional: GGA-PBE
Structure: optimized geometry

Computed properties:
DOS at the Fermi energy   0.697 states/eV per atom
Calculated density   9.59 g/cm3
Energy   -96.87 eV/cell
Space group   Immm
ΔE_f   -0.319 eV/atom

Cell lengths 8.4039, 8.4039, 8.4039 Å; angles 111.96, 109.60, 106.90 degrees
With the nearest neighbours (Å) after each atom.
Sites, in units of the cell vectors:
Ho  0.0224  0.2350  0.7874  1 Co 2.68
Ho  0.1838  0.2858  0.4696  3 Co 2.91-3.11, 1 Bi 3.22
Ho  0.1838  0.7142  0.8981  3 Co 2.91-3.11, 1 Bi 3.22
Ho  0.3242  0.0078  0.6836  3 Co 2.74-2.88
Ho  0.3242  0.6405  0.3164  3 Co 2.74-2.88
Ho  0.4476  0.2350  0.2126  1 Co 2.68
Ho  0.5524  0.7650  0.7874  1 Co 2.68
Ho  0.6758  0.3594  0.6836  3 Co 2.74-2.88
Ho  0.6758  0.9922  0.3164  3 Co 2.74-2.88
Ho  0.8162  0.2858  0.1019  3 Co 2.91-3.11, 1 Bi 3.22
Ho  0.8162  0.7142  0.5304  3 Co 2.91-3.11, 1 Bi 3.22
Ho  0.9776  0.7650  0.2126  1 Co 2.68
Co  0.1122  0.6122  0.5000  1 Co 2.25
Co  0.3457  0.0000  0.3457  6 Ho 2.68-2.88, 1 Co 2.99
Co  0.6543  0.0000  0.6543  6 Ho 2.68-2.88, 1 Co 2.99
Co  0.8878  0.3878  0.5000  1 Co 2.25
Bi  0.0000  0.0000  0.0000  8 Ho 3.13-3.22, 2 Co 3.35
Bi  0.5000  0.5000  0.0000  12 Ho 3.36-3.67